No. 1
CrAsRh2 after structural relaxation, computed with PBE.

Summary:
symmetry	Amm2, No. 38
total magnetization	0.003	μB/f.u.
electronic total energy	-29.34	eV for the cell shown
theoretical density	9.93	g/cm3
calculated volume	13.92	Å³ per atom

Cell lengths 3.838, 5.334, 5.334 Å; angles 30.65, 90.00, 90.00 degrees
Element x y z (fractional)
Cr1 0.000 0.000 0.000
As1 0.500 0.851 0.851
Rh1 0.000 0.260 0.260
Rh2 0.500 0.604 0.604


No. 2
TbPaSbAu after structural relaxation, computed with PBE.

Summary:
symmetry	F-43m, No. 216
total magnetization	2.638	μB/f.u.
electronic total energy	-23.32	eV for the cell shown
theoretical density	11.56	g/cm3
calculated volume	25.45	Å³ per atom

Cell lengths 5.241, 5.241, 5.241 Å; angles 60.00, 60.00, 60.00 degrees
Element x y z (fractional)
Tb1 0.000 0.000 0.000
Pa1 0.500 0.500 0.500
Sb1 0.750 0.750 0.750
Au1 0.250 0.250 0.250


No. 3
GaFe3B after structural relaxation, computed with PBE.

Summary:
symmetry	Pm-3m, No. 221
total magnetization	4.082	μB/f.u.
electronic total energy	-35.33	eV for the cell shown
theoretical density	7.30	g/cm3
calculated volume	11.28	Å³ per atom

Cell lengths 3.835, 3.835, 3.835 Å; angles 90.00, 90.00, 90.00 degrees
Element x y z (fractional)
Ga1 0.000 0.000 0.000
Fe1 0.000 0.500 0.500
Fe2 0.500 0.000 0.500
Fe3 0.500 0.500 0.000
B1 0.500 0.500 0.500


No. 4
AcNi2Ge4 after structural relaxation, computed with PBE.

Summary:
symmetry	Cmmm, No. 65
total magnetization	0.000	μB/f.u.
electronic total energy	-36.30	eV for the cell shown
theoretical density	8.11	g/cm3
calculated volume	18.58	Å³ per atom

Cell lengths 6.598, 6.598, 4.567 Å; angles 90.00, 90.00, 139.16 degrees
Element x y z (fractional)
Ac1 0.000 0.000 0.000
Ni1 0.389 0.611 0.500
Ni2 0.611 0.389 0.500
Ge1 0.182 0.818 0.500
Ge2 0.310 0.690 0.000
Ge3 0.690 0.310 0.000
Ge4 0.818 0.182 0.500


No. 5
KTlBi after structural relaxation, computed with PBE.

Summary:
symmetry	P3m1, No. 156
total magnetization	0.000	μB/f.u.
electronic total energy	-7.99	eV for the cell shown
theoretical density	7.26	g/cm3
calculated volume	34.49	Å³ per atom

Cell lengths 5.709, 5.709, 3.665 Å; angles 90.00, 90.00, 120.00 degrees
Element x y z (fractional)
K1 0.000 0.000 0.000
Tl1 0.667 0.333 0.356
Bi1 0.333 0.667 0.576


No. 6
Li2Zn6Pt after structural relaxation, computed with PBE.

Summary:
symmetry	C2/m, No. 12
total magnetization	0.000	μB/f.u.
electronic total energy	-20.40	eV for the cell shown
theoretical density	7.74	g/cm3
calculated volume	14.33	Å³ per atom

Cell lengths 4.459, 4.459, 8.000 Å; angles 96.99, 96.99, 54.95 degrees
Element x y z (fractional)
Li1 0.170 0.170 0.213
Li2 0.830 0.830 0.787
Zn1 0.163 0.163 0.888
Zn2 0.164 0.164 0.555
Zn3 0.492 0.492 0.668
Zn4 0.508 0.508 0.332
Zn5 0.836 0.836 0.445
Zn6 0.837 0.837 0.112
Pt1 0.500 0.500 0.000